Tb3Ce2Te6 | GGA-PBE | optimized geometry

Properties
The size of the total moment comes out at 2.46 μB per cell. The density of states at the Fermi level is 17.723 states/eV/cell. As for the formation energy without anion corrections: -1403 meV per atom.

Unit cell a=7.5973 b=7.5973 c=7.6916 alpha=99.55 beta=99.55 gamma=119.96
Positions (direct):
Tb1 0.0000 0.0000 0.0000
Tb2 0.3304 0.6696 0.0000
Tb3 0.6696 0.3304 0.0000
Ce1 0.1651 0.8349 0.5000
Ce2 0.8349 0.1651 0.5000
Te1 0.0933 0.4165 0.2482
Te2 0.2616 0.2616 0.7545
Te3 0.4165 0.0933 0.2482
Te4 0.5835 0.9067 0.7518
Te5 0.7384 0.7384 0.2455
Te6 0.9067 0.5835 0.7518



TbCe3Te4 | GGA-PBE | optimized geometry

Properties
The size of the total moment comes out at 3.51 μB per cell. The density of states at the Fermi level is 21.405 states/eV/cell. As for the formation energy without anion corrections: -1357 meV per atom.

Unit cell a=7.7483 b=7.7483 c=4.4181 alpha=90.00 beta=90.00 gamma=108.96
Positions (direct):
Tb1 0.0000 0.0000 0.0000
Ce1 0.0000 0.5000 0.5000
Ce2 0.5000 0.0000 0.5000
Ce3 0.5000 0.5000 0.0000
Te1 0.2433 0.2433 0.5000
Te2 0.2465 0.7535 0.0000
Te3 0.7535 0.2465 0.0000
Te4 0.7567 0.7567 0.5000



Tb4CeTe5 | GGA-PBE | optimized geometry

Properties
The size of the total moment comes out at 1.31 μB per cell. The density of states at the Fermi level is 11.023 states/eV/cell. As for the formation energy without anion corrections: -1327 meV per atom. The energy above the most stable polymorph in this dataset is 0.000 eV per atom.

Unit cell a=7.6587 b=7.6587 c=10.7678 alpha=118.36 beta=118.36 gamma=33.20
Positions (direct):
Tb1 0.0977 0.0977 0.3955
Tb2 0.2982 0.2982 0.2002
Tb3 0.7018 0.7018 0.7998
Tb4 0.9023 0.9023 0.6045
Ce1 0.5000 0.5000 0.0000
Te1 0.1039 0.1039 0.8976
Te2 0.2965 0.2965 0.6933
Te3 0.5000 0.5000 0.5000
Te4 0.7035 0.7035 0.3067
Te5 0.8961 0.8961 0.1024



TbCe3Te6 | GGA-PBE | optimized geometry

Properties
The size of the total moment comes out at 6.01 μB per cell. The density of states at the Fermi level is 43.315 states/eV/cell. As for the formation energy without anion corrections: -1318 meV per atom.

Unit cell a=7.4560 b=8.3847 c=13.3780 alpha=90.00 beta=122.73 gamma=90.00
Positions (direct):
Tb1 0.0000 0.0000 0.0000
Tb2 0.0000 0.5000 0.5000
Ce1 0.1949 0.1193 0.7462
Ce2 0.1949 0.3807 0.2462
Ce3 0.5000 0.0000 0.5000
Ce4 0.5000 0.5000 0.0000
Ce5 0.8051 0.6193 0.7538
Ce6 0.8051 0.8807 0.2538
Te1 0.0821 0.1785 0.4245
Te2 0.0821 0.3215 0.9245
Te3 0.2593 0.6744 0.4208
Te4 0.2593 0.8256 0.9208
Te5 0.4096 0.0535 0.2454
Te6 0.4096 0.4465 0.7454
Te7 0.5904 0.5535 0.2546
Te8 0.5904 0.9465 0.7546
Te9 0.7407 0.1744 0.0792
Te10 0.7407 0.3256 0.5792
Te11 0.9179 0.6785 0.0755
Te12 0.9179 0.8215 0.5755



TbCeTe | GGA-PBE | optimized geometry

Properties
The size of the total moment comes out at 0.01 μB per cell. The density of states at the Fermi level is 7.907 states/eV/cell. As for the formation energy without anion corrections: -813 meV per atom. The energy above the most stable polymorph in this dataset is 0.000 eV per atom.

Unit cell a=4.0967 b=4.3208 c=10.1341 alpha=90.00 beta=93.98 gamma=90.00
Positions (direct):
Tb1 0.2108 0.2500 0.2946
Tb2 0.7892 0.7500 0.7054
Ce1 0.3356 0.2500 0.9440
Ce2 0.6644 0.7500 0.0560
Te1 0.2757 0.2500 0.6239
Te2 0.7243 0.7500 0.3761



Tb3CeTe6 | GGA-PBE | optimized geometry

Properties
The size of the total moment comes out at 1.95 μB per cell. The density of states at the Fermi level is 14.918 states/eV/cell. As for the formation energy without anion corrections: -1390 meV per atom.

Unit cell a=12.5468 b=4.4016 c=12.8909 alpha=90.00 beta=109.22 gamma=90.00
Positions (direct):
Tb1 0.0653 0.2500 0.1652
Tb2 0.1815 0.7500 0.5011
Tb3 0.3454 0.2500 0.9184
Tb4 0.6546 0.7500 0.0816
Tb5 0.8185 0.2500 0.4989
Tb6 0.9347 0.7500 0.8348
Ce1 0.4538 0.2500 0.3039
Ce2 0.5462 0.7500 0.6961
Te1 0.0158 0.2500 0.3822
Te2 0.1084 0.2500 0.9396
Te3 0.2433 0.7500 0.2772
Te4 0.3051 0.7500 0.7493
Te5 0.3840 0.2500 0.5334
Te6 0.4145 0.7500 0.0980
Te7 0.5855 0.2500 0.9020
Te8 0.6160 0.7500 0.4666
Te9 0.6949 0.2500 0.2507
Te10 0.7567 0.2500 0.7228
Te11 0.8916 0.7500 0.0604
Te12 0.9842 0.7500 0.6178



TbCeTe3 | GGA-PBE | optimized geometry

Properties
The size of the total moment comes out at 1.92 μB per cell. The density of states at the Fermi level is 13.902 states/eV/cell. As for the formation energy without anion corrections: -1375 meV per atom. The energy above the most stable polymorph in this dataset is 0.013 eV per atom.

Unit cell a=7.4596 b=7.4596 c=10.8769 alpha=90.00 beta=90.00 gamma=146.35
Positions (direct):
Tb1 0.0000 0.0000 0.0000
Tb2 0.0000 0.0000 0.5000
Ce1 0.2474 0.7526 0.7500
Ce2 0.7526 0.2474 0.2500
Te1 0.0915 0.9085 0.2500
Te2 0.3536 0.6464 0.0653
Te3 0.3536 0.6464 0.4347
Te4 0.6464 0.3536 0.5653
Te5 0.6464 0.3536 0.9347
Te6 0.9085 0.0915 0.7500



Tb2CeTe5 | GGA-PBE | optimized geometry

Properties
The size of the total moment comes out at 0.63 μB per cell. The density of states at the Fermi level is 11.531 states/eV/cell. As for the formation energy without anion corrections: -1242 meV per atom.

Unit cell a=9.1518 b=9.1518 c=9.1518 alpha=126.92 beta=126.92 gamma=78.38
Positions (direct):
Tb1 0.1514 0.6514 0.8027
Tb2 0.3486 0.1514 0.5000
Tb3 0.6514 0.8486 0.5000
Tb4 0.8486 0.3486 0.1973
Ce1 0.2500 0.2500 0.0000
Ce2 0.7500 0.7500 0.0000
Te1 0.0000 0.0000 0.0000
Te2 0.0089 0.1920 0.5000
Te3 0.1920 0.6920 0.1831
Te4 0.3080 0.4911 0.5000
Te5 0.4911 0.9911 0.1831
Te6 0.5000 0.5000 0.0000
Te7 0.5089 0.0089 0.8169
Te8 0.6920 0.5089 0.5000
Te9 0.8080 0.3080 0.8169
Te10 0.9911 0.8080 0.5000



What did the first record say?
Tb3Ce2Te6 | GGA-PBE | optimized geometry

Properties
The size of the total moment comes out at 2.46 μB per cell. The density of states at the Fermi level is 17.723 states/eV/cell. As for the formation energy without anion corrections: -1403 meV per atom.

Unit cell a=7.5973 b=7.5973 c=7.6916 alpha=99.55 beta=99.55 gamma=119.96
Positions (direct):
Tb1 0.0000 0.0000 0.0000
Tb2 0.3304 0.6696 0.0000
Tb3 0.6696 0.3304 0.0000
Ce1 0.1651 0.8349 0.5000
Ce2 0.8349 0.1651 0.5000
Te1 0.0933 0.4165 0.2482
Te2 0.2616 0.2616 0.7545
Te3 0.4165 0.0933 0.2482
Te4 0.5835 0.9067 0.7518
Te5 0.7384 0.7384 0.2455
Te6 0.9067 0.5835 0.7518



Repeat the first record exactly.
Tb3Ce2Te6 | GGA-PBE | optimized geometry

Properties
The size of the total moment comes out at 2.46 μB per cell. The density of states at the Fermi level is 17.723 states/eV/cell. As for the formation energy without anion corrections: -1403 meV per atom.

Unit cell a=7.5973 b=7.5973 c=7.6916 alpha=99.55 beta=99.55 gamma=119.96
Positions (direct):
Tb1 0.0000 0.0000 0.0000
Tb2 0.3304 0.6696 0.0000
Tb3 0.6696 0.3304 0.0000
Ce1 0.1651 0.8349 0.5000
Ce2 0.8349 0.1651 0.5000
Te1 0.0933 0.4165 0.2482
Te2 0.2616 0.2616 0.7545
Te3 0.4165 0.0933 0.2482
Te4 0.5835 0.9067 0.7518
Te5 0.7384 0.7384 0.2455
Te6 0.9067 0.5835 0.7518



- Look up the size of the total moment of the seventh one.
  1.92 μB per cell



- The lowest formation energy without anion corrections belongs to which entry?
  Tb3Ce2Te6